Entry 1:
# NaTl4Cd, relaxed, DFT PBE
# * total moment: 0.00 μB/f.u.
# * energy relative to the elements: 54 meV per atom
data_NaTl4Cd
_cell_length_a 9.134
_cell_length_b 9.134
_cell_length_c 9.134
_cell_angle_alpha 90.00
_cell_angle_beta 90.00
_cell_angle_gamma 90.00
_space_group_name_H-M_alt 'F -4 3 m'
_space_group_IT_number 216
_space_group_name_Hall 'F -4 2 3'
loop_
_atom_site_label
_atom_site_fract_x
_atom_site_fract_y
_atom_site_fract_z
_atom_site_occupancy
Na1 0.000 0.000 0.000 1
Tl1 0.125 0.125 0.375 1
Cd1 0.250 0.250 0.750 1

---

Entry 2:
# In2CoSi2, relaxed, DFT PBE
# * total moment: 0.00 μB/f.u.
# * E_form (uncorrected): 162 meV/atom
data_In2CoSi2
_cell_length_a 6.110
_cell_length_b 6.110
_cell_length_c 4.789
_cell_angle_alpha 90.00
_cell_angle_beta 90.00
_cell_angle_gamma 90.00
_space_group_name_H-M_alt 'P 4/m b m'
_space_group_IT_number 127
_space_group_name_Hall '-P 4 2ab'
loop_
_atom_site_label
_atom_site_fract_x
_atom_site_fract_y
_atom_site_fract_z
_atom_site_occupancy
In1 0.182 0.318 0.000 1
Co1 0.000 0.000 0.500 1
Si1 0.145 0.645 0.500 1

---

Entry 3:
# Li6SbAu2, relaxed, DFT PBE
# * total moment: 0.00 μB/f.u.
# * E_form (uncorrected): -461 meV/atom
data_Li6SbAu2
_cell_length_a 7.218
_cell_length_b 7.717
_cell_length_c 5.273
_cell_angle_alpha 90.00
_cell_angle_beta 95.56
_cell_angle_gamma 90.00
_space_group_name_H-M_alt 'C 1 2/m 1'
_space_group_IT_number 12
_space_group_name_Hall '-C 2y'
loop_
_atom_site_label
_atom_site_fract_x
_atom_site_fract_y
_atom_site_fract_z
_atom_site_occupancy
Li1 0.000 0.170 0.000 1
Li2 0.165 0.335 0.670 1
Sb1 0.000 0.000 0.500 1
Au1 0.163 0.500 0.164 1

---

Entry 4:
# Pa2HgI8, relaxed, DFT PBE
# * total moment: 2.00 μB/f.u.
# * E_form (uncorrected): -769 meV/atom
data_Pa2HgI8
_cell_length_a 9.851
_cell_length_b 13.799
_cell_length_c 9.898
_cell_angle_alpha 90.00
_cell_angle_beta 90.64
_cell_angle_gamma 90.00
_space_group_name_H-M_alt 'C 1 2/m 1'
_space_group_IT_number 12
_space_group_name_Hall '-C 2y'
loop_
_atom_site_label
_atom_site_fract_x
_atom_site_fract_y
_atom_site_fract_z
_atom_site_occupancy
Pa1 0.115 0.000 0.189 1
Hg1 0.000 0.000 0.500 1
I1 0.075 0.204 0.258 1
I2 0.109 0.500 0.706 1
I3 0.196 0.000 0.895 1

---

Entry 5:
# CrSiPb2, relaxed, DFT PBE
# * total moment: 3.44 μB/f.u.
# * E_form (uncorrected): 479 meV/atom
data_CrSiPb2
_cell_length_a 3.293
_cell_length_b 4.957
_cell_length_c 11.370
_cell_angle_alpha 90.00
_cell_angle_beta 90.00
_cell_angle_gamma 90.00
_space_group_name_H-M_alt 'I m m 2'
_space_group_IT_number 44
_space_group_name_Hall 'I 2 -2'
loop_
_atom_site_label
_atom_site_fract_x
_atom_site_fract_y
_atom_site_fract_z
_atom_site_occupancy
Cr1 0.000 0.000 0.000 1
Si1 0.000 0.500 0.332 1
Pb1 0.000 0.000 0.545 1
Pb2 0.000 0.500 0.756 1

---

Entry 6:
# CuNi3Pd12, relaxed, DFT PBE
# * total moment: 1.95 μB/f.u.
# * energy relative to the elements: 22 meV per atom
data_CuNi3Pd12
_cell_length_a 3.877
_cell_length_b 3.877
_cell_length_c 15.439
_cell_angle_alpha 90.00
_cell_angle_beta 90.00
_cell_angle_gamma 90.00
_space_group_name_H-M_alt 'P 4/m m m'
_space_group_IT_number 123
_space_group_name_Hall '-P 4 2'
loop_
_atom_site_label
_atom_site_fract_x
_atom_site_fract_y
_atom_site_fract_z
_atom_site_occupancy
Cu1 0.000 0.000 0.000 1
Ni1 0.000 0.000 0.250 1
Ni2 0.000 0.000 0.500 1
Pd1 0.000 0.500 0.126 1
Pd2 0.000 0.500 0.375 1
Pd3 0.500 0.500 0.000 1
Pd4 0.500 0.500 0.251 1
Pd5 0.500 0.500 0.500 1

---

Entry 7:
# TmVPdRu, relaxed, DFT PBE
# * total moment: 1.65 μB/f.u.
# * energy relative to the elements: -291 meV per atom
data_TmVPdRu
_cell_length_a 6.476
_cell_length_b 6.476
_cell_length_c 6.476
_cell_angle_alpha 90.00
_cell_angle_beta 90.00
_cell_angle_gamma 90.00
_space_group_name_H-M_alt 'F -4 3 m'
_space_group_IT_number 216
_space_group_name_Hall 'F -4 2 3'
loop_
_atom_site_label
_atom_site_fract_x
_atom_site_fract_y
_atom_site_fract_z
_atom_site_occupancy
Tm1 0.000 0.000 0.000 1
V1 0.000 0.000 0.500 1
Pd1 0.250 0.250 0.750 1
Ru1 0.250 0.250 0.250 1

---

Entry 8:
# Mg2CdCl, relaxed, DFT PBE
# * total moment: 0.00 μB/f.u.
# * E_form (uncorrected): -444 meV/atom
data_Mg2CdCl
_cell_length_a 3.335
_cell_length_b 3.335
_cell_length_c 8.727
_cell_angle_alpha 90.00
_cell_angle_beta 90.00
_cell_angle_gamma 90.00
_space_group_name_H-M_alt 'P 4 m m'
_space_group_IT_number 99
_space_group_name_Hall 'P 4 -2'
loop_
_atom_site_label
_atom_site_fract_x
_atom_site_fract_y
_atom_site_fract_z
_atom_site_occupancy
Mg1 0.000 0.000 0.000 1
Mg2 0.500 0.500 0.249 1
Cd1 0.000 0.000 0.466 1
Cl1 0.500 0.500 0.842 1